# VAsPdN2 PBE relaxed
data_VAsPdN2
_cell_length_a 3.7381
_cell_length_b 3.7381
_cell_length_c 5.5924
_cell_angle_alpha 90.00
_cell_angle_beta 90.00
_cell_angle_gamma 90.00
_space_group_name_H-M_alt 'P 4/m m m'
_space_group_IT_number 123
_space_group_name_Hall '-P 4 2'
loop_
_atom_site_label
_atom_site_type_symbol
_atom_site_fract_x
_atom_site_fract_y
_atom_site_fract_z
V1 V 0.0000 0.0000 0.0000
As1 As 0.5000 0.5000 0.0000
Pd1 Pd 0.0000 0.0000 0.5000
N1 N 0.0000 0.5000 0.5000
# energy relative to the elements, uncorrected	1.53	eV/atom
# raw total energy	-27.949	eV per cell
# M_tot	0.17	μB per atom


# Pm5As4N PBE relaxed
data_Pm5As4N
_cell_length_a 9.1840
_cell_length_b 9.1840
_cell_length_c 5.9673
_cell_angle_alpha 90.00
_cell_angle_beta 90.00
_cell_angle_gamma 90.00
_space_group_name_H-M_alt 'I 4'
_space_group_IT_number 79
_space_group_name_Hall 'I 4'
loop_
_atom_site_label
_atom_site_type_symbol
_atom_site_fract_x
_atom_site_fract_y
_atom_site_fract_z
Pm1 Pm 0.0000 0.0000 0.0000
Pm2 Pm 0.0937 0.7224 0.5558
As1 As 0.0940 0.6980 0.0597
N1 N 0.0000 0.0000 0.6114
# energy relative to the elements, uncorrected	-1.40	eV/atom
# raw total energy	-129.276	eV per cell
# M_tot	0.00	μB per atom